Record 1
Entry from Alexandria via LeMat-Bulk: a relaxed structure of CsNaF (GGA-PBE).

* ΔE_f (raw): -1.66 eV/atom
* calculated total energy: -3.00 eV per atom
* spin magnetization: 0.0 μB/cell
* relative energy among the computed polymorphs: 40 meV/atom

a b c (Å): 7.9029 3.8582 16.0631
angles (deg): 90.00 96.57 90.00
Last column: nearest neighbours and their distance in Å.
Atoms (fractional coordinates):
Na1 0.3611 0.0000 0.6923  3 F 2.29-2.39
Na2 0.6389 0.0000 0.3077  3 F 2.29-2.39
Na3 0.6389 0.5000 0.8077  3 F 2.29-2.39
Na4 0.3611 0.5000 0.1923  3 F 2.29-2.39
F1 0.6515 0.0000 0.7209  3 Na 2.29-2.39
F2 0.3485 0.0000 0.2791  3 Na 2.29-2.39
F3 0.6515 0.5000 0.2209  3 Na 2.29-2.39
F4 0.3485 0.5000 0.7791  3 Na 2.29-2.39
Cs1 0.7840 0.0000 0.1050  2 F 2.95
Cs2 0.2160 0.0000 0.8950  2 F 2.95
Cs3 0.7840 0.5000 0.6050  2 F 2.95
Cs4 0.2160 0.5000 0.3950  2 F 2.95

=====

Record 2
Entry from Alexandria via LeMat-Bulk: a relaxed structure of CsNaF (GGA-PBE).

* ΔE_f (raw): -1.58 eV/atom
* calculated total energy: -2.92 eV per atom
* spin magnetization: 0.0 μB/cell
* relative energy among the computed polymorphs: 119 meV/atom

a b c (Å): 4.0978 4.0978 7.2275
angles (deg): 90.00 90.00 120.00
Last column: nearest neighbours and their distance in Å.
Atoms (fractional coordinates):
Na1 0.0000 0.0000 0.8850  3 F 2.83
F1 0.3333 0.6667 0.6713  3 Na 2.83, 3 Cs 2.88
Cs1 0.6667 0.3333 0.4437  3 F 2.88

=====

Record 3
Entry from Alexandria via LeMat-Bulk: a relaxed structure of Cs2Na2F5 (GGA-PBE).

* ΔE_f (raw): -2.37 eV/atom
* calculated total energy: -3.89 eV per atom
* spin magnetization: 1.1 μB/cell
* relative energy among the computed polymorphs: 7 meV/atom

a b c (Å): 4.6175 6.8059 6.9866
angles (deg): 108.94 90.00 109.83
Last column: nearest neighbours and their distance in Å.
Atoms (fractional coordinates):
Na1 0.8468 0.6935 0.1028  5 F 2.23-2.31
Na2 0.1532 0.3065 0.8972  5 F 2.23-2.31
Cs1 0.4012 0.8024 0.6890  7 F 2.89-3.13
Cs2 0.5988 0.1976 0.3110  7 F 2.89-3.13
F1 0.6591 0.3182 0.9197  3 Na 2.30-2.31
F2 0.0000 0.0000 0.0000  2 Na 2.31
F3 0.8498 0.6996 0.4243  1 Na 2.23
F4 0.1502 0.3004 0.5757  1 Na 2.23
F5 0.3409 0.6818 0.0803  3 Na 2.30-2.31